Material: Cr3AuBr
Method: DFT, PBE
State: optimized geometry

Unit cell a=5.109 b=5.109 c=5.109 alpha=90.00 beta=90.00 gamma=90.00
Element x y z (fractional)
Cr 0.000 0.000 0.500
Cr 0.000 0.500 0.000
Cr 0.500 0.000 0.000
Au 0.000 0.000 0.000
Br 0.500 0.500 0.500

## Properties
Raw formation energy = 1.072 eV/atom
Calculated volume = 26.67 A^3/atom
ΔE to the lowest computed polymorph = 0 meV per atom
Final energy = -5.692 eV/atom
Crystal system = cubic